## SrBr3 (meta-GGA SCAN)

Data for a crystal of SrBr3 relaxed with PBEsol.

Summary:
**V**: 29.96 Å³/atom
**Uncorrected formation energy**: -1.49 eV/atom
**M_tot**: 0.00 μB per formula unit

abc: 4.4123 4.4123 24.6201
angles: 90.00 90.00 90.00
With the nearest neighbours (Å) after each atom.
Space group I4/mmm (No. 139)
Asymmetric unit:
1 Sr 0.0000 0.0000 0.1605 (multiplicity 4)  8 Br 3.12-3.22
2 Br 0.0000 0.0000 0.3721 (multiplicity 4)  4 Sr 3.22
3 Br 0.0000 0.5000 0.0000 (multiplicity 4)  4 Br 3.12
4 Br 0.0000 0.5000 0.2500 (multiplicity 4)  4 Sr 3.12, 4 Br 3.12